## Li2Mg2ZnAgAu2 (GGA-PBE)

Data for an optimized crystal structure of Li2Mg2ZnAgAu2.

```
data_Li2Mg2ZnAgAu2
_chemical_formula_sum 'Li2 Mg2 Zn1 Ag1 Au2'
_symmetry_space_group_name_H-M 'P -4 m 2'
_symmetry_Int_Tables_number 115
_cell_length_a 4.544
_cell_length_b 4.544
_cell_length_c 6.448
_cell_angle_alpha 90.00
_cell_angle_beta 90.00
_cell_angle_gamma 90.00
loop_
_symmetry_equiv_pos_as_xyz
'x,y,z'
'y,-x,-z'
'-x,-y,z'
'-y,x,-z'
'-x,y,z'
'-y,-x,-z'
'x,-y,z'
'y,x,-z'
loop_
_atom_site_label
_atom_site_fract_x
_atom_site_fract_y
_atom_site_fract_z
Li1 0.000 0.500 0.249
Mg1 0.000 0.000 0.000
Mg2 0.500 0.500 0.500
Zn1 0.500 0.500 0.000
Ag1 0.000 0.000 0.500
Au1 0.000 0.500 0.768
```

Summary:
The calculated total energy is -2.61 eV per atom.



## Hf2Ag2O5 (GGA-PBE)

Data for an optimized crystal structure of Hf2Ag2O5.

```
data_Hf2Ag2O5
_chemical_formula_sum 'Hf2 Ag2 O5'
_symmetry_space_group_name_H-M 'P 4/m m m'
_symmetry_Int_Tables_number 123
_symmetry_space_group_name_Hall '-P 4 2'
_cell_length_a 3.969
_cell_length_b 3.969
_cell_length_c 8.114
_cell_angle_alpha 90.00
_cell_angle_beta 90.00
_cell_angle_gamma 90.00
loop_
_atom_site_label
_atom_site_fract_x
_atom_site_fract_y
_atom_site_fract_z
Hf1 0.000 0.000 0.243
Ag1 0.500 0.500 0.000
Ag2 0.500 0.500 0.500
O1 0.000 0.000 0.000
O2 0.000 0.500 0.294
```

Summary:
The calculated total energy is -7.72 eV per atom.



## Ni17Ge (GGA-PBE)

Data for an optimized crystal structure of Ni17Ge.

```
data_Ni17Ge
_chemical_formula_sum 'Ni34 Ge2'
_symmetry_space_group_name_H-M 'P 1 21/m 1'
_symmetry_Int_Tables_number 11
_cell_length_a 4.281
_cell_length_b 4.954
_cell_length_c 31.237
_cell_angle_alpha 90.00
_cell_angle_beta 90.08
_cell_angle_gamma 90.00
loop_
_symmetry_equiv_pos_as_xyz
'x,y,z'
'-x,-y,-z'
'-x,y+1/2,-z'
'x,-y+1/2,z'
loop_
_atom_site_label
_atom_site_fract_x
_atom_site_fract_y
_atom_site_fract_z
Ni1 0.000 0.000 0.000
Ni2 0.000 0.000 0.195
Ni3 0.165 0.250 0.870
Ni4 0.166 0.750 0.065
Ni5 0.167 0.250 0.065
Ni6 0.167 0.750 0.870
Ni7 0.168 0.250 0.261
Ni8 0.333 0.000 0.130
Ni9 0.333 0.000 0.935
Ni10 0.334 0.502 0.740
Ni11 0.498 0.750 0.195
Ni12 0.498 0.750 0.805
Ni13 0.500 0.250 0.000
Ge1 0.166 0.750 0.264
```

Summary:
The calculated total energy is -5.46 eV per atom.



## SnPd (GGA-PBE)

Data for an optimized crystal structure of SnPd.

```
data_SnPd
_chemical_formula_sum 'Sn1 Pd1'
_symmetry_space_group_name_H-M 'P -6 m 2'
_symmetry_Int_Tables_number 187
_symmetry_space_group_name_Hall 'P -6 2'
_cell_length_a 3.2674
_cell_length_b 3.2674
_cell_length_c 4.1761
_cell_angle_alpha 90.00
_cell_angle_beta 90.00
_cell_angle_gamma 120.00
loop_
_atom_site_label
_atom_site_fract_x
_atom_site_fract_y
_atom_site_fract_z
Sn1 0.0000 0.0000 0.0000
Pd1 0.3333 0.6667 0.5000
```

Summary:
The calculated total energy is -4.95 eV per atom.